Crystalline SrCd3Sn at its relaxed geometry. Source: Alexandria, functional PBE-GGA.

## Properties
Space group ... No. 42
Distance to the lowest polymorph of the same formula ... 0.0 meV per atom
DFT formation energy ... -324 meV per atom
Total magnetization ... 0.0 μB/f.u.
DFT total energy ... -2.010 eV/atom

a = 4.6688 Å, b = 4.6688 Å, c = 7.1757 Å
α = 71.00°, β = 71.01°, γ = 89.89°
Fractional coordinates of all 5 atoms:
Cd: 0.1523 0.4545 0.4018
Cd: 0.7888 0.5926 0.1283
Cd: 0.6514 0.9559 0.4017
Sr: 0.4056 0.2092 0.8940
Sn: 0.0096 0.8129 0.6854